(1)
Hg4TeAsI2 PBE relaxed; final energy = -1.531 eV per atom; formation energy without anion corrections = -1.8 kJ/mol of atoms
1.0
5.997 -6.881 0.000
5.997 6.881 0.000
-5.887 0.000 6.034
Hg Te As I
8 2 2 4
direct
0.203 0.795 0.985 Hg
0.204 0.242 0.472 Hg
0.205 0.797 0.515 Hg
0.242 0.204 0.972 Hg
0.758 0.796 0.028 Hg
0.795 0.203 0.485 Hg
0.796 0.758 0.528 Hg
0.797 0.205 0.015 Hg
0.000 0.500 0.500 Te
0.500 0.000 0.000 Te
0.000 0.000 0.000 As
0.000 0.000 0.500 As
0.000 0.500 0.000 I
0.500 0.000 0.500 I
0.500 0.500 0.000 I
0.500 0.500 0.500 I

(2)
PuTh5C5 PBE relaxed; final energy = -9.051 eV per atom
1.0
5.888 -2.651 0.000
5.888 2.651 0.000
-2.408 0.000 7.015
Pu Th C
1 5 5
direct
0.000 0.000 0.000 Pu
0.000 0.000 0.500 Th
0.331 0.331 0.160 Th
0.332 0.332 0.673 Th
0.668 0.668 0.327 Th
0.669 0.669 0.840 Th
0.155 0.155 0.316 C
0.173 0.173 0.833 C
0.500 0.500 0.000 C
0.827 0.827 0.167 C
0.845 0.845 0.684 C

(3)
AgTeRh2 PBE relaxed; final energy = -4.995 eV per atom; formation energy without anion corrections = 17.2 kJ/mol of atoms
1.0
3.071 0.000 0.000
0.000 4.141 0.000
-1.514 0.000 5.517
Ag Te Rh
1 1 2
direct
0.000 0.000 0.000 Ag
0.000 0.000 0.500 Te
0.388 0.500 0.739 Rh
0.612 0.500 0.261 Rh